9
Lattice="-2.107 -3.081 2.703 6.551 -3.345 1.295 -2.319 5.512 4.475" Properties=species:S:1:pos:R:3 comment="Ho2ErCd3In3 | OQMD | PBE | optimized geometry" energy_ry_per_atom=-0.230 sg="Amm2, No. 38" m_tot_mub_per_fu=0.00 pbc="T T T"
Cd 2.138 0.094 5.702
Cd -1.624 -0.184 2.452
Cd 0.558 -2.363 1.670
Er 1.840 0.942 2.508
In 2.537 -1.930 3.707
In -0.413 1.016 4.765
In 0.002 0.001 0.003
Ho 3.703 -1.891 0.732
Ho -1.311 3.116 2.529

***

9
Lattice="4.554 0.000 0.000 0.000 6.180 3.559 0.000 -6.180 3.559" Properties=species:S:1:pos:R:3 comment="HoEr2Zn3CdIn2 | OQMD | PBE | optimized geometry" energy_ry_per_atom=-0.221 sg="Amm2, No. 38" m_tot_mub_per_fu=0.00 pbc="T T T"
Zn 2.277 -1.443 0.832
Zn 2.277 0.000 5.452
Zn 2.277 1.443 0.832
Er 0.000 -3.510 2.025
Er 0.000 3.510 2.025
In 2.277 -2.065 3.561
In 2.277 2.065 3.561
Ho 0.000 0.000 3.074
Cd 0.000 0.000 7.108

***

9
Lattice="3.915 0.000 0.000 0.000 6.478 3.740 0.000 -6.478 3.740" Properties=species:S:1:pos:R:3 comment="Ho2ErCd3Ir2Pt | OQMD | PBE | optimized geometry" e_form_mev_per_atom=-669.5 sg="Amm2, No. 38" m_tot_mub_per_fu=0.00 pbc="T T T"
Ir 1.958 2.153 3.742
Ir 1.958 -2.153 3.742
Ho 0.000 -2.635 1.522
Ho 0.000 2.635 1.522
Cd 1.958 4.791 2.766
Cd 1.958 0.000 1.946
Cd 1.958 -4.791 2.766
Pt 0.000 0.000 7.475
Er 0.000 0.000 4.439

***

9
Lattice="3.909 0.000 0.000 0.000 6.474 3.737 0.000 -6.474 3.737" Properties=species:S:1:pos:R:3 comment="HoEr2Cd3Ir2Pt | OQMD | PBE | optimized geometry" e_form_mev_per_atom=-669.6 sg="Amm2, No. 38" m_tot_mub_per_fu=0.00 pbc="T T T"
Cd 1.954 -4.788 2.764
Cd 1.954 4.788 2.764
Cd 1.954 0.000 1.948
Ir 1.954 2.164 3.735
Ir 1.954 -2.164 3.735
Er 0.000 2.632 1.519
Er 0.000 -2.632 1.519
Pt 0.000 0.000 0.005
Ho 0.000 0.000 4.433

***

6
Lattice="-2.186 2.186 7.900 2.186 -2.186 7.900 2.186 2.186 -7.900" Properties=species:S:1:pos:R:3 comment="HoErCd2Sn2 | OQMD | PBE | optimized geometry" energy_ry_per_atom=-0.269 sg="I4mm, No. 107" m_tot_mub_per_fu=0.00 pbc="T T T"
Ho 0.000 0.000 10.476
Cd 2.186 0.000 0.000
Cd 0.000 2.186 0.000
Er 0.000 0.000 5.325
Sn 0.000 0.000 13.546
Sn 0.000 0.000 2.258

***

9
Lattice="-2.498 -1.354 3.546 3.534 -6.647 -0.048 2.745 5.683 4.104" Properties=species:S:1:pos:R:3 comment="Ho2ErTl2Cd4 | OQMD | PBE | optimized geometry" energy_ry_per_atom=-0.203 sg="Amm2, No. 38" m_tot_mub_per_fu=0.00 pbc="T T T"
Cd -0.398 -2.277 1.761
Cd 3.520 -1.409 4.853
Cd 0.005 -0.001 0.003
Cd -0.588 0.691 2.761
Ho 4.765 1.881 4.075
Ho 5.103 -3.396 2.298
Tl 2.021 -3.209 3.109
Tl 1.758 0.892 4.490
Er 2.686 -0.412 1.735

***

5
Lattice="-0.932 2.258 -3.612 1.774 -3.971 -0.309 -9.929 -4.419 -0.202" Properties=species:S:1:pos:R:3 comment="ErCdSbI2 | OQMD | PBE | optimized geometry" energy_ry_per_atom=-0.241 sg="P3m1, No. 156" m_tot_mub_per_fu=0.00 pbc="T T T"
I -2.302 -3.307 -1.474
I -6.720 -2.796 -2.647
Sb -0.016 -0.007 0.000
Cd -1.563 -0.501 -2.542
Er -7.573 -5.653 -1.581

***

3
Lattice="-2.787 -3.716 1.860 -4.988 0.208 -0.330 -2.434 -3.091 -3.092" Properties=species:S:1:pos:R:3 comment="ErCdIn | OQMD | PBE | optimized geometry" energy_ry_per_atom=-0.195 sg="F-43m, No. 216" m_tot_mub_per_fu=0.00 pbc="T T T"
In -7.657 -4.950 -1.172
Er 0.000 0.000 0.000
Cd -2.552 -1.650 -0.391

***

4
Lattice="-0.727 -3.945 -2.265 3.351 -2.016 2.435 -3.010 -1.236 3.120" Properties=species:S:1:pos:R:3 comment="ErCdIn2 | OQMD | PBE | optimized geometry" energy_ry_per_atom=-0.228 sg="P4/mmm, No. 123" m_tot_mub_per_fu=0.00 pbc="T T T"
In -0.364 -1.972 -1.132
In 1.676 -1.008 1.217
Cd -1.505 -0.618 1.560
Er -0.193 -3.598 1.645

***

18
Lattice="7.966 -4.599 0.000 7.966 4.599 0.000 0.000 0.000 6.602" Properties=species:S:1:pos:R:3 comment="Er5CdIn3 | OQMD | PBE | optimized geometry" energy_ry_per_atom=-0.290 sg="P6_3/mcm, No. 193" m_tot_mub_per_fu=0.00 pbc="T T T"
Er 5.311 0.000 3.301
Er 10.621 0.000 3.301
Er 2.321 -1.340 1.650
Er 2.321 1.340 4.951
Er 7.966 -1.920 1.650
Er 5.311 0.000 0.000
Er 5.645 -3.259 4.951
Er 5.645 3.259 1.650
Er 10.621 0.000 0.000
Er 7.966 1.920 4.951
In 5.011 -2.893 1.650
In 2.955 1.706 1.650
In 2.955 -1.706 4.951
In 7.966 -1.187 4.951
In 5.011 2.893 4.951
In 7.966 1.187 1.650
Cd 0.000 0.000 3.301
Cd 0.000 0.000 0.000

***

3
Lattice="-3.841 -1.918 -2.239 -4.473 1.284 1.338 -2.712 2.739 -2.931" Properties=species:S:1:pos:R:3 comment="ErCdIn | OQMD | PBE | optimized geometry" energy_ry_per_atom=-0.219 sg="F-43m, No. 216" m_tot_mub_per_fu=0.00 pbc="T T T"
In -8.270 1.579 -2.874
Er -2.757 0.526 -0.958
Cd 0.000 0.000 0.000

***

9
Lattice="5.479 -2.461 0.000 5.479 2.461 0.000 -4.473 0.000 8.093" Properties=species:S:1:pos:R:3 comment="Er3Cd4In2 | OQMD | PBE | optimized geometry" energy_ry_per_atom=-0.212 sg="C2/m, No. 12" m_tot_mub_per_fu=0.03 pbc="T T T"
Cd 9.745 0.000 0.733
Cd 5.351 0.000 4.343
Cd 1.134 0.000 3.749
Cd -3.260 0.000 7.360
Er -0.051 0.000 6.717
Er -2.237 0.000 4.046
Er 6.537 0.000 1.376
In 3.210 0.000 6.260
In 3.276 0.000 1.833